# ScSbMo (PBE, relaxed)
data_ScSbMo
_chemical_formula_sum 'Sc1 Sb1 Mo1'
_space_group_name_H-M_alt 'P 1'
_space_group_IT_number 1
_space_group_name_Hall 'P 1'
_cell_length_a 3.339
_cell_length_b 3.339
_cell_length_c 6.544
_cell_angle_alpha 90.00
_cell_angle_beta 90.00
_cell_angle_gamma 120.00
loop_
_atom_site_label
_atom_site_type_symbol
_atom_site_fract_x
_atom_site_fract_y
_atom_site_fract_z
_atom_site_occupancy
Mo1 Mo 0.000 0.000 0.009 1
Sb1 Sb 0.333 0.667 0.307 1
Sc1 Sc 0.667 0.333 0.685 1
# Symmetry   No. 156
# Polymorph energy (0 for the lowest one)   292 meV/atom